## CsOsS2N (PBE-GGA)

Data for crystalline CsOsS2N at its relaxed geometry.

abc: 5.405 5.405 4.200
angles: 90.00 90.00 90.00
Fractional coordinates of all 5 atoms:
Cs 0.000 0.000 0.000
S 0.000 0.500 0.000
S 0.500 0.000 0.000
Os 0.500 0.500 0.500
N 0.000 0.000 0.500

Values from the calculation:
Final energy ... -2.576 eV/atom
V ... 122.7 Å³ per cell
Size of the total moment ... 0.59 Bohr magnetons per cell
Space group ... P4/mmm (123)
ΔE_f (raw) ... 3157 meV per atom

---

## ZnSiMo2 (PBE-GGA)

Data for crystalline ZnSiMo2 at its relaxed geometry.

abc: 3.260 3.260 5.562
angles: 90.00 90.00 90.00
Fractional coordinates of all 4 atoms:
Mo 0.000 0.000 0.002
Mo 0.500 0.500 0.249
Si 0.000 0.000 0.508
Zn 0.500 0.500 0.742

Values from the calculation:
Final energy ... -7.124 eV/atom
V ... 59.1 Å³ per cell
Size of the total moment ... 0.00 Bohr magnetons per cell
Space group ... P4mm (99)
ΔE_f (raw) ... -34 meV per atom

---

Look up the ΔE_f (raw) of the first one.
3157 meV per atom